TiGaNiOs after structural relaxation, computed with PBE.

a = 6.0493 Å, b = 6.0493 Å, c = 6.0493 Å
α = 90.00°, β = 90.00°, γ = 90.00°
Space group F-43m (No. 216)
Unique sites:
Ti 0.0000 0.0000 0.0000 (multiplicity 4)
Ga 0.0000 0.0000 0.5000 (multiplicity 4)
Ni 0.2500 0.2500 0.7500 (multiplicity 4)
Os 0.2500 0.2500 0.2500 (multiplicity 4)

## Properties
V, Å³ per cell: 221.4
DFT formation energy, kcal/mol of atoms: -9.777
Fermi-level density of states, states/eV/atom: 0.82
Mass density, g/cm³: 11.00

TmGa3NiOs after structural relaxation, computed with PBE.

a = 7.8089 Å, b = 10.4520 Å, c = 5.4851 Å
α = 90.00°, β = 90.00°, γ = 90.00°
Space group Cmcm (No. 63)
Unique sites:
Tm 0.0000 0.2026 0.2500 (multiplicity 4)
Ga 0.0000 0.3144 0.7500 (multiplicity 4)
Ga 0.2499 0.0000 0.0000 (multiplicity 8)
Ni 0.0000 0.4627 0.2500 (multiplicity 4)
Os 0.0000 0.0835 0.7500 (multiplicity 4)

## Properties
V, Å³ per cell: 447.7
DFT formation energy, kcal/mol of atoms: -5.241
Fermi-level density of states, states/eV/atom: 0.38
Mass density, g/cm³: 9.30

VGaNiOs after structural relaxation, computed with PBE.

a = 5.9683 Å, b = 5.9683 Å, c = 5.9683 Å
α = 90.00°, β = 90.00°, γ = 90.00°
Space group F-43m (No. 216)
Unique sites:
V 0.0000 0.0000 0.0000 (multiplicity 4)
Ga 0.0000 0.0000 0.5000 (multiplicity 4)
Ni 0.2500 0.2500 0.2500 (multiplicity 4)
Os 0.2500 0.2500 0.7500 (multiplicity 4)

## Properties
V, Å³ per cell: 212.6
DFT formation energy, kcal/mol of atoms: -4.639
Fermi-level density of states, states/eV/atom: 1.14
Mass density, g/cm³: 11.55

YGa3NiOs after structural relaxation, computed with PBE.

a = 7.7310 Å, b = 10.5421 Å, c = 5.5834 Å
α = 90.00°, β = 90.00°, γ = 90.00°
Space group Cmcm (No. 63)
Unique sites:
Y 0.0000 0.2079 0.2500 (multiplicity 4)
Ga 0.0000 0.3107 0.7500 (multiplicity 4)
Ga 0.2493 0.0000 0.0000 (multiplicity 8)
Ni 0.0000 0.4699 0.2500 (multiplicity 4)
Os 0.0000 0.0823 0.7500 (multiplicity 4)

## Properties
V, Å³ per cell: 455.1
DFT formation energy, kcal/mol of atoms: -5.428
Fermi-level density of states, states/eV/atom: 0.41
Mass density, g/cm³: 7.98

Ga2Ni8P after structural relaxation, computed with PBE.

a = 13.2891 Å, b = 4.0551 Å, c = 5.1639 Å
α = 90.00°, β = 112.80°, γ = 90.00°
Space group C2/m (No. 12)
Unique sites:
Ga 0.1840 0.0000 0.1839 (multiplicity 4)
Ni 0.0002 0.0000 0.2526 (multiplicity 4)
Ni 0.1374 0.5000 0.8951 (multiplicity 4)
Ni 0.1379 0.5000 0.3809 (multiplicity 4)
Ni 0.1830 0.0000 0.6837 (multiplicity 4)
P 0.0000 0.5000 0.5000 (multiplicity 2)

## Properties
V, Å³ per cell: 256.5
DFT formation energy, kcal/mol of atoms: -7.433
Fermi-level density of states, states/eV/atom: 0.66
Mass density, g/cm³: 8.28

GaNi10P3 after structural relaxation, computed with PBE.

a = 7.6243 Å, b = 7.6243 Å, c = 9.4754 Å
α = 90.00°, β = 90.00°, γ = 120.00°
Space group P-3m1 (No. 164)
Unique sites:
Ga 0.0000 0.0000 0.0000 (multiplicity 1)
Ga 0.3333 0.6667 0.3604 (multiplicity 2)
Ni 0.0000 0.0000 0.3806 (multiplicity 2)
Ni 0.0000 0.3400 0.5000 (multiplicity 6)
Ni 0.0129 0.5065 0.7574 (multiplicity 6)
Ni 0.1346 0.2692 0.1980 (multiplicity 6)
Ni 0.1852 0.3705 0.9323 (multiplicity 6)
Ni 0.3333 0.6667 0.1017 (multiplicity 2)
Ni 0.3333 0.6667 0.6098 (multiplicity 2)
P 0.0000 0.5000 0.0000 (multiplicity 3)
P 0.1651 0.3302 0.6906 (multiplicity 6)

## Properties
V, Å³ per cell: 477.0
DFT formation energy, kcal/mol of atoms: -10.604
Fermi-level density of states, states/eV/atom: 0.59
Mass density, g/cm³: 7.83

GaNi14P after structural relaxation, computed with PBE.

a = 5.0303 Å, b = 5.0303 Å, c = 6.9343 Å
α = 90.00°, β = 90.00°, γ = 90.00°
Space group P4/mmm (No. 123)
Unique sites:
Ga 0.0000 0.0000 0.0000 (multiplicity 1)
Ni 0.0000 0.0000 0.5000 (multiplicity 1)
Ni 0.0000 0.5000 0.0000 (multiplicity 2)
Ni 0.0000 0.5000 0.5000 (multiplicity 2)
Ni 0.2542 0.2542 0.2488 (multiplicity 8)
Ni 0.5000 0.5000 0.5000 (multiplicity 1)
P 0.5000 0.5000 0.0000 (multiplicity 1)

## Properties
V, Å³ per cell: 175.5
DFT formation energy, kcal/mol of atoms: -2.669
Fermi-level density of states, states/eV/atom: 1.77
Mass density, g/cm³: 8.73

GaNi2P after structural relaxation, computed with PBE.

a = 3.8246 Å, b = 3.8246 Å, c = 15.0875 Å
α = 90.00°, β = 90.00°, γ = 90.00°
Space group I-42d (No. 122)
Unique sites:
Ga 0.0000 0.0000 0.0000 (multiplicity 4)
Ni 0.2110 0.2500 0.6250 (multiplicity 8)
P 0.0000 0.0000 0.5000 (multiplicity 4)

## Properties
V, Å³ per cell: 220.7
DFT formation energy, kcal/mol of atoms: -3.788
Excess energy over the best structure of this formula in the dataset, eV per atom: 0.303
Fermi-level density of states, states/eV/atom: 0.42
Mass density, g/cm³: 6.56

GaNiP after structural relaxation, computed with PBE.

a = 8.3721 Å, b = 3.5917 Å, c = 6.7599 Å
α = 90.00°, β = 124.55°, γ = 90.00°
Space group C2/m (No. 12)
Unique sites:
Ga 0.0952 0.0000 0.3921 (multiplicity 4)
Ni 0.1684 0.5000 0.7221 (multiplicity 4)
P 0.1538 0.5000 0.0503 (multiplicity 4)

## Properties
V, Å³ per cell: 167.4
DFT formation energy, kcal/mol of atoms: -6.078
Excess energy over the best structure of this formula in the dataset, eV per atom: 0.024
Fermi-level density of states, states/eV/atom: 0.32
Mass density, g/cm³: 6.32

GaNiP after structural relaxation, computed with PBE.

a = 5.5676 Å, b = 5.5676 Å, c = 5.5676 Å
α = 90.00°, β = 90.00°, γ = 90.00°
Space group F-43m (No. 216)
Unique sites:
Ga 0.0000 0.0000 0.0000 (multiplicity 4)
Ni 0.2500 0.2500 0.7500 (multiplicity 4)
P 0.0000 0.0000 0.5000 (multiplicity 4)

## Properties
V, Å³ per cell: 172.6
DFT formation energy, kcal/mol of atoms: -6.637
Excess energy over the best structure of this formula in the dataset, eV per atom: 0.000
Fermi-level density of states, states/eV/atom: 0.39
Mass density, g/cm³: 6.13

GaNi3P after structural relaxation, computed with PBE.

a = 2.8364 Å, b = 3.3532 Å, c = 12.9166 Å
α = 90.00°, β = 90.00°, γ = 90.00°
Space group Pmmn (No. 59, origin choice 2)
Unique sites:
Ga 0.2500 0.2500 0.1436 (multiplicity 2)
Ni 0.2500 0.2500 0.7462 (multiplicity 2)
Ni 0.2500 0.2500 0.9458 (multiplicity 2)
Ni 0.2500 0.7500 0.5591 (multiplicity 2)
P 0.2500 0.7500 0.3820 (multiplicity 2)

## Properties
V, Å³ per cell: 122.8
DFT formation energy, kcal/mol of atoms: -7.733
Excess energy over the best structure of this formula in the dataset, eV per atom: 0.004
Fermi-level density of states, states/eV/atom: 0.56
Mass density, g/cm³: 7.48

GaNi2P after structural relaxation, computed with PBE.

a = 3.6928 Å, b = 3.6928 Å, c = 13.3645 Å
α = 90.00°, β = 90.00°, γ = 120.00°
Space group R3m (No. 160, hexagonal axes)
Unique sites:
Ga 0.0000 0.0000 0.0000 (multiplicity 3)
Ni 0.0000 0.0000 0.2200 (multiplicity 3)
Ni 0.0000 0.0000 0.4298 (multiplicity 3)
P 0.0000 0.0000 0.8172 (multiplicity 3)

## Properties
V, Å³ per cell: 157.8
DFT formation energy, kcal/mol of atoms: -7.128
Excess energy over the best structure of this formula in the dataset, eV per atom: 0.158
Fermi-level density of states, states/eV/atom: 0.65
Mass density, g/cm³: 6.88

GaNi2P after structural relaxation, computed with PBE.

a = 5.7921 Å, b = 5.7921 Å, c = 5.7921 Å
α = 90.00°, β = 90.00°, γ = 90.00°
Space group Fm-3m (No. 225)
Unique sites:
Ga 0.0000 0.0000 0.0000 (multiplicity 4)
Ni 0.2500 0.2500 0.2500 (multiplicity 8)
P 0.0000 0.0000 0.5000 (multiplicity 4)

## Properties
V, Å³ per cell: 194.3
DFT formation energy, kcal/mol of atoms: -3.178
Excess energy over the best structure of this formula in the dataset, eV per atom: 0.330
Fermi-level density of states, states/eV/atom: 0.50
Mass density, g/cm³: 7.45

Ga2Ni2P after structural relaxation, computed with PBE.

a = 7.0322 Å, b = 7.0322 Å, c = 2.7205 Å
α = 90.00°, β = 90.00°, γ = 90.00°
Space group P4/mbm (No. 127)
Unique sites:
Ga 0.1528 0.3472 0.0000 (multiplicity 4)
Ni 0.1458 0.6458 0.5000 (multiplicity 4)
P 0.0000 0.0000 0.5000 (multiplicity 2)

## Properties
V, Å³ per cell: 134.5
DFT formation energy, kcal/mol of atoms: -2.473
Fermi-level density of states, states/eV/atom: 0.47
Mass density, g/cm³: 7.10

GaNi3P after structural relaxation, computed with PBE.

a = 4.3057 Å, b = 4.3057 Å, c = 4.3057 Å
α = 90.00°, β = 90.00°, γ = 90.00°
Space group Pm-3m (No. 221)
Unique sites:
Ga 0.0000 0.0000 0.0000 (multiplicity 1)
Ni 0.0000 0.0000 0.5000 (multiplicity 3)
P 0.5000 0.5000 0.5000 (multiplicity 1)

## Properties
V, Å³ per cell: 79.8
DFT formation energy, kcal/mol of atoms: 19.406
Excess energy over the best structure of this formula in the dataset, eV per atom: 1.181
Fermi-level density of states, states/eV/atom: 0.78
Mass density, g/cm³: 5.76

GaNi3P after structural relaxation, computed with PBE.

a = 4.1561 Å, b = 4.1561 Å, c = 4.1561 Å
α = 90.00°, β = 90.00°, γ = 90.00°
Space group Pm-3m (No. 221)
Unique sites:
Ga 0.0000 0.0000 0.0000 (multiplicity 1)
Ni 0.0000 0.5000 0.5000 (multiplicity 3)
P 0.5000 0.5000 0.5000 (multiplicity 1)

## Properties
V, Å³ per cell: 71.8
DFT formation energy, kcal/mol of atoms: 0.328
Excess energy over the best structure of this formula in the dataset, eV per atom: 0.354
Fermi-level density of states, states/eV/atom: 0.23
Mass density, g/cm³: 6.40

GaNiP2 after structural relaxation, computed with PBE.

a = 5.1530 Å, b = 5.1530 Å, c = 11.0214 Å
α = 90.00°, β = 90.00°, γ = 90.00°
Space group I-42d (No. 122)
Unique sites:
Ga 0.0000 0.0000 0.0000 (multiplicity 4)
Ni 0.0000 0.0000 0.5000 (multiplicity 4)
P 0.2116 0.2500 0.6250 (multiplicity 8)

## Properties
V, Å³ per cell: 292.7
DFT formation energy, kcal/mol of atoms: -4.030
Fermi-level density of states, states/eV/atom: 0.63
Mass density, g/cm³: 4.32

GaNi3P after structural relaxation, computed with PBE.

a = 7.0159 Å, b = 4.7672 Å, c = 8.5485 Å
α = 90.00°, β = 119.31°, γ = 90.00°
Space group P2_1/c (No. 14)
Unique sites:
Ga 0.1707 0.2353 0.0443 (multiplicity 4)
Ni 0.0001 0.0674 0.7093 (multiplicity 4)
Ni 0.2455 0.7449 0.1359 (multiplicity 4)
Ni 0.3723 0.1722 0.3732 (multiplicity 4)
P 0.3132 0.6747 0.4123 (multiplicity 4)

## Properties
V, Å³ per cell: 249.3
DFT formation energy, kcal/mol of atoms: -7.836
Excess energy over the best structure of this formula in the dataset, eV per atom: 0.000
Fermi-level density of states, states/eV/atom: 0.50
Mass density, g/cm³: 7.37

GaNi2P after structural relaxation, computed with PBE.

a = 6.8216 Å, b = 5.7269 Å, c = 5.2385 Å
α = 90.00°, β = 90.36°, γ = 90.00°
Space group P2_1/c (No. 14)
Unique sites:
Ga 0.1159 0.1096 0.3028 (multiplicity 4)
Ni 0.1646 0.6935 0.4922 (multiplicity 4)
Ni 0.4068 0.1975 0.0057 (multiplicity 4)
P 0.3709 0.5624 0.1865 (multiplicity 4)

## Properties
V, Å³ per cell: 204.6
DFT formation energy, kcal/mol of atoms: -10.777
Excess energy over the best structure of this formula in the dataset, eV per atom: 0.000
Fermi-level density of states, states/eV/atom: 0.36
Mass density, g/cm³: 7.08

GaNi2PPd after structural relaxation, computed with PBE.

a = 4.3297 Å, b = 4.3297 Å, c = 4.5462 Å
α = 90.00°, β = 90.00°, γ = 90.00°
Space group P4/mmm (No. 123)
Unique sites:
Ga 0.0000 0.0000 0.0000 (multiplicity 1)
Ni 0.0000 0.5000 0.0000 (multiplicity 2)
P 0.0000 0.0000 0.5000 (multiplicity 1)
Pd 0.5000 0.5000 0.5000 (multiplicity 1)

## Properties
V, Å³ per cell: 85.2
DFT formation energy, kcal/mol of atoms: 19.462
Fermi-level density of states, states/eV/atom: 1.32
Mass density, g/cm³: 6.32